VASP calculation (GGA+U) on a geometry-optimized Ni2AsClO structure.

The value obtained for the total energy is -2.72 eV/atom. Its density of states at the Fermi level is 3.47 states/eV per cell.

The space group is P4/mmm (No. 123) and the conventional cell measures 3.7657, 3.7657 and 5.4519 Å, with angles of 90.00, 90.00 and 90.00 degrees. The asymmetric unit holds Ni at (0.0000, 0.5000, 0.0000), As at (0.0000, 0.0000, 0.5000), Cl at (0.5000, 0.5000, 0.5000) and O at (0.0000, 0.0000, 0.0000).